(1)
YTaTeCl2 | PBE | relaxed

## Properties
For the total magnetic moment, the calculation gives 0.80 μB per atom. Its symmetry is P4/mmm, No. 123. The formation energy without anion corrections comes out at -18.0 kJ/mol of atoms.

abc: 5.052 5.052 6.283
angles: 90.00 90.00 90.00
Fractional positions:
Y 0.000 0.000 0.000
Ta 0.500 0.500 0.500
Te 0.000 0.000 0.500
Cl 0.000 0.500 0.000
Cl 0.500 0.000 0.000

---

(2)
Zr2TaTe2Cl4 | PBE | relaxed

## Properties
For the total magnetic moment, the calculation gives 0.00 μB per atom. Its symmetry is P3m1, No. 156. The formation energy without anion corrections comes out at -113.7 kJ/mol of atoms.

abc: 3.504 3.504 23.067
angles: 90.00 90.00 120.00
Fractional positions:
Zr 0.000 0.000 0.000
Zr 0.333 0.667 0.312
Ta 0.333 0.667 0.665
Te 0.000 0.000 0.581
Te 0.000 0.000 0.748
Cl 0.000 0.000 0.239
Cl 0.000 0.000 0.385
Cl 0.333 0.667 0.073
Cl 0.333 0.667 0.927

---

(3)
Ta2TiCl8 | PBE | relaxed

## Properties
For the total magnetic moment, the calculation gives 0.18 μB per atom. Its symmetry is C2/m, No. 12. The formation energy without anion corrections comes out at -94.5 kJ/mol of atoms.

abc: 7.830 7.830 5.908
angles: 97.04 97.04 83.39
Fractional positions:
Ta 0.185 0.185 0.341
Ta 0.815 0.815 0.659
Ti 0.000 0.000 0.000
Cl 0.091 0.692 0.782
Cl 0.140 0.140 0.716
Cl 0.308 0.909 0.218
Cl 0.365 0.365 0.236
Cl 0.635 0.635 0.764
Cl 0.692 0.091 0.782
Cl 0.860 0.860 0.284
Cl 0.909 0.308 0.218

---

(4)
TaTi3Cl | PBE | relaxed

## Properties
For the total magnetic moment, the calculation gives 0.00 μB per atom. Its symmetry is Pm-3m, No. 221. The formation energy without anion corrections comes out at 10.9 kJ/mol of atoms.

abc: 4.442 4.442 4.442
angles: 90.00 90.00 90.00
Fractional positions:
Ta 0.000 0.000 0.000
Ti 0.000 0.500 0.500
Ti 0.500 0.000 0.500
Ti 0.500 0.500 0.000
Cl 0.500 0.500 0.500

---

(5)
TaTi3Cl | PBE | relaxed

## Properties
For the total magnetic moment, the calculation gives 0.47 μB per atom. Its symmetry is Pm-3m, No. 221. The formation energy without anion corrections comes out at 106.3 kJ/mol of atoms.

abc: 4.945 4.945 4.945
angles: 90.00 90.00 90.00
Fractional positions:
Ta 0.000 0.000 0.000
Ti 0.000 0.000 0.500
Ti 0.000 0.500 0.000
Ti 0.500 0.000 0.000
Cl 0.500 0.500 0.500

---

(6)
Ta2Ti2Cl7 | PBE | relaxed

## Properties
For the total magnetic moment, the calculation gives 0.09 μB per atom. Its symmetry is C2/c, No. 15. The formation energy without anion corrections comes out at -88.9 kJ/mol of atoms.

abc: 6.255 6.255 16.162
angles: 91.79 91.79 110.59
Fractional positions:
Ta 0.014 0.677 0.955
Ta 0.323 0.986 0.545
Ta 0.677 0.014 0.455
Ta 0.986 0.323 0.045
Ti 0.036 0.326 0.875
Ti 0.326 0.036 0.375
Ti 0.674 0.964 0.625
Ti 0.964 0.674 0.125
Cl 0.058 0.942 0.250
Cl 0.153 0.253 0.468
Cl 0.253 0.153 0.968
Cl 0.273 0.539 0.151
Cl 0.306 0.675 0.634
Cl 0.325 0.694 0.866
Cl 0.461 0.727 0.349
Cl 0.539 0.273 0.651
Cl 0.675 0.306 0.134
Cl 0.694 0.325 0.366
Cl 0.727 0.461 0.849
Cl 0.747 0.847 0.032
Cl 0.847 0.747 0.532
Cl 0.942 0.058 0.750

---

(7)
TaTiWCl2 | PBE | relaxed

## Properties
For the total magnetic moment, the calculation gives 0.32 μB per atom. Its symmetry is P4/mmm, No. 123. The formation energy without anion corrections comes out at 104.6 kJ/mol of atoms.

abc: 4.382 4.382 5.837
angles: 90.00 90.00 90.00
Fractional positions:
Ta 0.000 0.000 0.000
Ti 0.000 0.000 0.500
W 0.500 0.500 0.000
Cl 0.000 0.500 0.500
Cl 0.500 0.000 0.500

---

(8)
Ta2TlCl | PBE | relaxed

## Properties
For the total magnetic moment, the calculation gives 0.00 μB per atom. Its symmetry is I-4m2, No. 119. The formation energy without anion corrections comes out at 84.6 kJ/mol of atoms.

abc: 5.340 5.340 5.340
angles: 133.23 133.23 68.30
Fractional positions:
Ta 0.000 0.000 0.000
Ta 0.750 0.250 0.500
Tl 0.250 0.750 0.500
Cl 0.500 0.500 0.000

---

(9)
Ta2TlCl | PBE | relaxed

## Properties
For the total magnetic moment, the calculation gives 0.00 μB per atom. Its symmetry is P4/mmm, No. 123. The formation energy without anion corrections comes out at 70.7 kJ/mol of atoms.

abc: 2.982 2.982 8.301
angles: 90.00 90.00 90.00
Fractional positions:
Ta 0.000 0.000 0.223
Ta 0.000 0.000 0.777
Tl 0.500 0.500 0.500
Cl 0.500 0.500 0.000

---

(10)
Ta3Tl2Cl9 | PBE | relaxed

## Properties
For the total magnetic moment, the calculation gives 0.00 μB per atom. Its symmetry is C2/m, No. 12. The formation energy without anion corrections comes out at -117.5 kJ/mol of atoms.

abc: 9.982 9.982 9.793
angles: 102.77 102.77 117.30
Fractional positions:
Ta 0.044 0.214 0.639
Ta 0.119 0.119 0.377
Ta 0.214 0.044 0.639
Ta 0.786 0.956 0.361
Ta 0.881 0.881 0.623
Ta 0.956 0.786 0.361
Tl 0.228 0.547 0.170
Tl 0.453 0.772 0.830
Tl 0.547 0.228 0.170
Tl 0.772 0.453 0.830
Cl 0.088 0.885 0.189
Cl 0.104 0.491 0.821
Cl 0.115 0.912 0.811
Cl 0.193 0.397 0.519
Cl 0.203 0.797 0.500
Cl 0.270 0.270 0.222
Cl 0.311 0.311 0.831
Cl 0.397 0.193 0.519
Cl 0.491 0.104 0.821
Cl 0.509 0.896 0.179
Cl 0.603 0.807 0.481
Cl 0.689 0.689 0.169
Cl 0.730 0.730 0.778
Cl 0.797 0.203 0.500
Cl 0.807 0.603 0.481
Cl 0.885 0.088 0.189
Cl 0.896 0.509 0.179
Cl 0.912 0.115 0.811

---

(11)
Ta2Tl2Cl | PBE | relaxed

## Properties
For the total magnetic moment, the calculation gives 0.00 μB per atom. Its symmetry is P4/mbm, No. 127. The formation energy without anion corrections comes out at 48.7 kJ/mol of atoms.

abc: 6.535 6.535 4.945
angles: 90.00 90.00 90.00
Fractional positions:
Ta 0.145 0.355 0.000
Ta 0.355 0.855 0.000
Ta 0.645 0.145 0.000
Ta 0.855 0.645 0.000
Tl 0.170 0.670 0.500
Tl 0.330 0.170 0.500
Tl 0.670 0.830 0.500
Tl 0.830 0.330 0.500
Cl 0.000 0.000 0.000
Cl 0.500 0.500 0.000

---

(12)
Ta2TlCl | PBE | relaxed

## Properties
For the total magnetic moment, the calculation gives 0.00 μB per atom. Its symmetry is Fm-3m, No. 225. The formation energy without anion corrections comes out at 71.3 kJ/mol of atoms.

abc: 4.726 4.726 4.726
angles: 60.00 60.00 60.00
Fractional positions:
Ta 0.250 0.250 0.250
Ta 0.750 0.750 0.750
Tl 0.000 0.000 0.000
Cl 0.500 0.500 0.500

---

(13)
TaTlCl6 | PBE | relaxed

## Properties
For the total magnetic moment, the calculation gives 0.00 μB per atom. Its symmetry is C2/m, No. 12. The formation energy without anion corrections comes out at -124.1 kJ/mol of atoms.

abc: 6.719 6.719 6.852
angles: 98.16 98.16 113.80
Fractional positions:
Ta 0.000 0.000 0.000
Tl 0.500 0.500 0.500
Cl 0.020 0.320 0.217
Cl 0.233 0.233 0.818
Cl 0.320 0.020 0.217
Cl 0.680 0.980 0.783
Cl 0.767 0.767 0.182
Cl 0.980 0.680 0.783

---

(14)
Ta2TlCl | PBE | relaxed

## Properties
For the total magnetic moment, the calculation gives 0.00 μB per atom. Its symmetry is Pmmm, No. 47. The formation energy without anion corrections comes out at 72.7 kJ/mol of atoms.

abc: 2.992 3.595 6.884
angles: 90.00 90.00 90.00
Fractional positions:
Ta 0.000 0.000 0.218
Ta 0.000 0.000 0.782
Tl 0.500 0.500 0.500
Cl 0.500 0.500 0.000

---

(15)
Ta2TlCl | PBE | relaxed

## Properties
For the total magnetic moment, the calculation gives 0.00 μB per atom. Its symmetry is Pmmm, No. 47. The formation energy without anion corrections comes out at 54.5 kJ/mol of atoms.

abc: 2.979 5.096 5.308
angles: 90.00 90.00 90.00
Fractional positions:
Ta 0.000 0.000 0.000
Ta 0.500 0.000 0.500
Tl 0.000 0.500 0.500
Cl 0.500 0.500 0.000

---

(16)
Ta2TlCl | PBE | relaxed

## Properties
For the total magnetic moment, the calculation gives 0.00 μB per atom. Its symmetry is F-43m, No. 216. The formation energy without anion corrections comes out at 91.2 kJ/mol of atoms.

abc: 4.867 4.867 4.867
angles: 60.00 60.00 60.00
Fractional positions:
Ta 0.000 0.000 0.000
Ta 0.250 0.250 0.250
Tl 0.500 0.500 0.500
Cl 0.750 0.750 0.750

---

(17)
Ta2TlCl | PBE | relaxed

## Properties
For the total magnetic moment, the calculation gives 0.00 μB per atom. Its symmetry is C2/m, No. 12. The formation energy without anion corrections comes out at 61.2 kJ/mol of atoms.

abc: 6.060 6.060 3.214
angles: 103.89 103.89 124.45
Fractional positions:
Ta 0.000 0.500 0.000
Ta 0.500 0.000 0.000
Tl 0.000 0.000 0.000
Cl 0.500 0.500 0.000

---

(18)
TaTlCl | PBE | relaxed

## Properties
For the total magnetic moment, the calculation gives 0.00 μB per atom. Its symmetry is F-43m, No. 216. The formation energy without anion corrections comes out at 118.3 kJ/mol of atoms.

abc: 4.590 4.590 4.590
angles: 60.00 60.00 60.00
Fractional positions:
Ta 0.000 0.000 0.000
Tl 0.500 0.500 0.500
Cl 0.750 0.750 0.750

---

(19)
TaTlCl | PBE | relaxed

## Properties
For the total magnetic moment, the calculation gives 0.00 μB per atom. Its symmetry is P3m1, No. 156. The formation energy without anion corrections comes out at -10.6 kJ/mol of atoms.

abc: 3.144 3.144 8.484
angles: 90.00 90.00 120.00
Fractional positions:
Ta 0.000 0.000 0.000
Tl 0.667 0.333 0.317
Cl 0.333 0.667 0.795

---

(20)
TaTl2Cl6 | PBE | relaxed

## Properties
For the total magnetic moment, the calculation gives 0.11 μB per atom. Its symmetry is C2/m, No. 12. The formation energy without anion corrections comes out at -112.8 kJ/mol of atoms.

abc: 7.114 7.114 6.165
angles: 90.58 90.58 60.07
Fractional positions:
Ta 0.000 0.000 0.000
Tl 0.332 0.332 0.811
Tl 0.668 0.668 0.189
Cl 0.162 0.162 0.224
Cl 0.162 0.677 0.222
Cl 0.323 0.838 0.778
Cl 0.677 0.162 0.222
Cl 0.838 0.323 0.778
Cl 0.838 0.838 0.776

---

(21)
TaTlCl6 | PBE | relaxed

## Properties
For the total magnetic moment, the calculation gives 0.00 μB per atom. Its symmetry is C2/c, No. 15. The formation energy without anion corrections comes out at -125.8 kJ/mol of atoms.

abc: 7.047 7.047 11.020
angles: 90.05 90.05 72.04
Fractional positions:
Ta 0.000 0.500 0.000
Ta 0.500 0.000 0.500
Tl 0.015 0.985 0.750
Tl 0.985 0.015 0.250
Cl 0.136 0.533 0.193
Cl 0.156 0.194 0.497
Cl 0.194 0.156 0.997
Cl 0.263 0.585 0.904
Cl 0.415 0.737 0.596
Cl 0.467 0.864 0.307
Cl 0.533 0.136 0.693
Cl 0.585 0.263 0.404
Cl 0.737 0.415 0.096
Cl 0.806 0.844 0.003
Cl 0.844 0.806 0.503
Cl 0.864 0.467 0.807

---

(22)
Ta2TlCl | PBE | relaxed

## Properties
For the total magnetic moment, the calculation gives 0.00 μB per atom. Its symmetry is Immm, No. 71. The formation energy without anion corrections comes out at 41.3 kJ/mol of atoms.

abc: 5.707 5.707 5.707
angles: 149.83 122.99 65.86
Fractional positions:
Ta 0.223 0.223 0.000
Ta 0.777 0.777 0.000
Tl 0.500 0.000 0.500
Cl 0.000 0.500 0.500

---

(23)
Ta3TlCl | PBE | relaxed

## Properties
For the total magnetic moment, the calculation gives 0.30 μB per atom. Its symmetry is Pm-3m, No. 221. The formation energy without anion corrections comes out at 252.5 kJ/mol of atoms.

abc: 5.183 5.183 5.183
angles: 90.00 90.00 90.00
Fractional positions:
Ta 0.000 0.000 0.500
Ta 0.000 0.500 0.000
Ta 0.500 0.000 0.000
Tl 0.000 0.000 0.000
Cl 0.500 0.500 0.500

---

(24)
Ta2TlCl | PBE | relaxed

## Properties
For the total magnetic moment, the calculation gives 0.00 μB per atom. Its symmetry is Cm, No. 8. The formation energy without anion corrections comes out at 41.0 kJ/mol of atoms.

abc: 5.866 5.866 5.639
angles: 117.52 117.52 29.69
Fractional positions:
Ta 0.000 0.000 0.000
Ta 0.716 0.716 0.042
Tl 0.473 0.473 0.467
Cl 0.281 0.281 0.753

---

(25)
Ta2TlCl | PBE | relaxed

## Properties
For the total magnetic moment, the calculation gives 0.00 μB per atom. Its symmetry is Cmm2, No. 35. The formation energy without anion corrections comes out at 0.1 kJ/mol of atoms.

abc: 3.043 3.043 10.666
angles: 90.00 90.00 111.16
Fractional positions:
Ta 0.000 0.000 0.000
Ta 0.500 0.500 0.199
Tl 0.000 0.000 0.452
Cl 0.500 0.500 0.819

---

(26)
TaTlCl | PBE | relaxed

## Properties
For the total magnetic moment, the calculation gives 0.00 μB per atom. Its symmetry is P-6m2, No. 187. The formation energy without anion corrections comes out at 39.2 kJ/mol of atoms.

abc: 4.730 4.730 3.113
angles: 90.00 90.00 120.00
Fractional positions:
Ta 0.000 0.000 0.000
Tl 0.667 0.333 0.500
Cl 0.333 0.667 0.000